# Te2AsI

Crystalline Te2AsI at its relaxed geometry (PBE, the Alexandria database).

Cell lengths 7.1366, 7.1366, 7.1366 Å; angles 111.57, 111.57, 105.36 degrees
Fractional coordinates of all 8 atoms:
Te: 0.0660 0.1250 0.4410
Te: 0.3750 0.9340 0.0590
Te: 0.6840 0.6250 0.5590
Te: 0.8750 0.3160 0.9410
As: 0.0000 0.0000 0.0000
As: 0.7500 0.2500 0.5000
I: 0.2500 0.7500 0.5000
I: 0.5000 0.5000 0.0000

For the total energy, the calculation gives -2.920 eV/atom. The value obtained for the relative energy among the computed polymorphs is 0.181 eV per atom. For the theoretical density, the calculation gives 5.45 g/cm3. The value obtained for the spin magnetization is 0.0 μB per formula unit. The calculation puts the formation energy without anion corrections at 0.201 eV/atom. The calculation puts the density of states at the Fermi level at 0.36 states/eV/atom.

# YNi2P2

Crystalline YNi2P2 at its relaxed geometry (PBE, the Alexandria database).

Cell lengths 5.2617, 5.2617, 5.2617 Å; angles 133.64, 133.64, 67.65 degrees
Fractional coordinates of all 5 atoms:
Y: 0.0000 0.0000 0.0000
Ni: 0.3571 0.3571 0.0000
Ni: 0.6429 0.6429 0.0000
P: 0.2500 0.7500 0.5000
P: 0.7500 0.2500 0.5000

The calculation puts the formation energy from the elements at -0.79 eV per atom. For the total energy, the calculation gives -6.564 eV/atom. For the theoretical density, the calculation gives 5.94 g/cm3. The value obtained for the spin magnetization is 0.0 μB per formula unit. The calculation puts the density of states at the Fermi level at 0.58 states/eV/atom.

# TiBiIO2

Crystalline TiBiIO2 at its relaxed geometry (PBE, the Alexandria database).

Cell lengths 4.3167, 4.3167, 6.5796 Å; angles 90.00, 90.00, 90.00 degrees
Fractional coordinates of all 5 atoms:
Ti: 0.0000 0.0000 0.0000
Bi: 0.5000 0.5000 0.5000
I: 0.5000 0.5000 0.0000
O: 0.0000 0.5000 0.5000
O: 0.5000 0.0000 0.5000

For the total energy, the calculation gives -4.692 eV/atom. The value obtained for the relative energy among the computed polymorphs is 0.768 eV per atom. For the theoretical density, the calculation gives 5.63 g/cm3. The value obtained for the spin magnetization is 2.8 μB per formula unit. The calculation puts the formation energy without anion corrections at -0.043 eV/atom. The calculation puts the density of states at the Fermi level at 1.46 states/eV/atom.

# In4NiHg

Crystalline In4NiHg at its relaxed geometry (PBE, the Alexandria database).

Cell lengths 7.1030, 7.1030, 5.5759 Å; angles 96.04, 96.04, 96.75 degrees
Fractional coordinates of all 12 atoms:
In: 0.0967 0.6973 0.9662
In: 0.1409 0.3336 0.5657
In: 0.3027 0.9033 0.5338
In: 0.3336 0.1409 0.0657
In: 0.6664 0.8591 0.9343
In: 0.6973 0.0967 0.4662
In: 0.8591 0.6664 0.4343
In: 0.9033 0.3027 0.0338
Ni: 0.0023 0.9977 0.7500
Ni: 0.9977 0.0023 0.2500
Hg: 0.4327 0.5673 0.2500
Hg: 0.5673 0.4327 0.7500

The calculation puts the formation energy from the elements at -0.03 eV per atom. For the total energy, the calculation gives -2.870 eV/atom. The value obtained for the relative energy among the computed polymorphs is 0.000 eV per atom. For the theoretical density, the calculation gives 8.65 g/cm3. The value obtained for the spin magnetization is 0.0 μB per formula unit. The calculation puts the density of states at the Fermi level at 0.54 states/eV/atom.

# CdTcRu2

Crystalline CdTcRu2 at its relaxed geometry (PBE, the Alexandria database).

Cell lengths 2.7692, 3.9748, 5.6991 Å; angles 90.00, 90.00, 90.00 degrees
Fractional coordinates of all 4 atoms:
Cd: 0.0000 0.0000 0.0000
Tc: 0.5000 0.5000 0.7015
Ru: 0.0000 0.0000 0.5051
Ru: 0.5000 0.5000 0.2680

The calculation puts the formation energy from the elements at 0.33 eV per atom. For the total energy, the calculation gives -7.124 eV/atom. For the theoretical density, the calculation gives 10.92 g/cm3. The value obtained for the spin magnetization is 0.0 μB per formula unit. The calculation puts the density of states at the Fermi level at 1.27 states/eV/atom.

# ErTiC

Crystalline ErTiC at its relaxed geometry (PBE, the Alexandria database).

Cell lengths 3.3010, 3.3010, 5.5003 Å; angles 90.00, 90.00, 120.00 degrees
Fractional coordinates of all 3 atoms:
Er: 0.0000 0.0000 0.0000
Ti: 0.6667 0.3333 0.5464
C: 0.3333 0.6667 0.7173

The calculation puts the formation energy from the elements at -0.32 eV per atom. For the total energy, the calculation gives -7.548 eV/atom. The value obtained for the relative energy among the computed polymorphs is 0.033 eV per atom. For the theoretical density, the calculation gives 7.27 g/cm3. The value obtained for the spin magnetization is 0.0 μB per formula unit. The calculation puts the density of states at the Fermi level at 1.21 states/eV/atom.

# La6Pr2Ag

Crystalline La6Pr2Ag at its relaxed geometry (PBE, the Alexandria database).

Cell lengths 3.8115, 9.8090, 9.8090 Å; angles 119.91, 90.00, 90.00 degrees
Fractional coordinates of all 9 atoms:
La: 0.0000 0.0000 0.0000
La: 0.0000 0.4728 0.7355
La: 0.0000 0.7355 0.4728
La: 0.5000 0.1184 0.7362
La: 0.5000 0.3531 0.3531
La: 0.5000 0.7362 0.1184
Pr: 0.0000 0.0689 0.4028
Pr: 0.0000 0.4028 0.0689
Ag: 0.5000 0.7369 0.7369

The calculation puts the formation energy from the elements at -0.04 eV per atom. For the total energy, the calculation gives -4.703 eV/atom. The value obtained for the relative energy among the computed polymorphs is 0.000 eV per atom. For the theoretical density, the calculation gives 6.39 g/cm3. The value obtained for the spin magnetization is 0.0 μB per formula unit. The calculation puts the density of states at the Fermi level at 1.67 states/eV/atom.

# CoAs2PSe

Crystalline CoAs2PSe at its relaxed geometry (PBE, the Alexandria database).

Cell lengths 4.4367, 4.4367, 4.9171 Å; angles 90.00, 90.00, 90.00 degrees
Fractional coordinates of all 5 atoms:
Co: 0.0000 0.0000 0.0000
As: 0.0000 0.5000 0.0000
As: 0.5000 0.0000 0.0000
P: 0.5000 0.5000 0.5000
Se: 0.0000 0.0000 0.5000

For the total energy, the calculation gives -4.433 eV/atom. The value obtained for the relative energy among the computed polymorphs is 0.000 eV per atom. For the theoretical density, the calculation gives 5.47 g/cm3. The value obtained for the spin magnetization is 0.0 μB per formula unit. The calculation puts the formation energy without anion corrections at 0.627 eV/atom. The calculation puts the density of states at the Fermi level at 0.83 states/eV/atom.